# 1
A geometry-optimized LuRhPb2 structure, computed with PBE-GGA.

It has space group R-3m (No. 166, hexagonal axes), with a = 3.4298 Å, b = 3.4298 Å, c = 30.8372 Å, α = 90.00°, β = 90.00° and γ = 120.00°. The inequivalent atoms are Lu at (0.0000, 0.0000, 0.0000), Rh at (0.0000, 0.0000, 0.5000) and Pb at (0.0000, 0.0000, 0.1011).

The value obtained for the energy relative to the elements is 0.108 eV/atom. For the mass density, the calculation gives 11.0 g/cm³. The value obtained for the total energy is -56.6 eV per cell.

# 2
A geometry-optimized LuRhPb structure, computed with PBE-GGA.

It has space group I4mm (No. 107), with a = 3.359 Å, b = 3.359 Å, c = 11.654 Å, α = 90.00°, β = 90.00° and γ = 90.00°. The inequivalent atoms are Lu at (0.000, 0.000, 0.000), Rh at (0.000, 0.000, 0.367) and Pb at (0.000, 0.000, 0.711).

The value obtained for the energy relative to the elements is -0.480 eV/atom. For the mass density, the calculation gives 12.3 g/cm³. The value obtained for the total energy is -34.0 eV per cell.

# 3
A geometry-optimized Lu2RhPb structure, computed with PBE-GGA.

It has space group Fm-3m (No. 225), with a = 7.139 Å, b = 7.139 Å, c = 7.139 Å, α = 90.00°, β = 90.00° and γ = 90.00°. The inequivalent atoms are Lu at (0.250, 0.250, 0.250), Rh at (0.000, 0.000, 0.000) and Pb at (0.000, 0.000, 0.500).

The value obtained for the energy relative to the elements is -0.531 eV/atom. For the mass density, the calculation gives 12.0 g/cm³. The value obtained for the total energy is -88.9 eV per cell.

# 4
A geometry-optimized Lu2RhPb structure, computed with PBE-GGA.

It has space group P4/mmm (No. 123), with a = 3.433 Å, b = 3.433 Å, c = 7.856 Å, α = 90.00°, β = 90.00° and γ = 90.00°. The inequivalent atoms are Lu at (0.000, 0.000, 0.205), Rh at (0.500, 0.500, 0.000) and Pb at (0.500, 0.500, 0.500).

The value obtained for the energy relative to the elements is -0.715 eV/atom. For the mass density, the calculation gives 11.8 g/cm³. The value obtained for the total energy is -23.0 eV per cell.